Record 1
Compound: Er4PdPt2
Source: Alexandria
Functional: PBE
Structure: optimized geometry

Summary:
The value obtained for the spin magnetization is 0.000 μB/atom. As for the excess energy over the best structure of this formula in the dataset: 0.0 kJ/mol of atoms. The formation energy is -1.03 eV per atom. The calculated volume is 162.6 Å³/cell. As for the calculated total energy: -42.71 eV/cell.

abc: 8.4164 8.4164 8.4164
angles: 33.60 33.60 33.60
Element x y z (fractional)
Er: 0.1241 0.1241 0.1241
Er: 0.3740 0.3740 0.3740
Er: 0.6260 0.6260 0.6260
Er: 0.8759 0.8759 0.8759
Pd: 0.5000 0.5000 0.5000
Pt: 0.2510 0.2510 0.2510
Pt: 0.7490 0.7490 0.7490


Record 2
Compound: Er2PdPt4
Source: Alexandria
Functional: PBE
Structure: optimized geometry

Summary:
The value obtained for the spin magnetization is 0.000 μB/atom. As for the excess energy over the best structure of this formula in the dataset: 0.0 kJ/mol of atoms. The formation energy is -0.82 eV per atom. The calculated volume is 138.5 Å³/cell. As for the calculated total energy: -44.25 eV/cell.

abc: 9.6110 9.6110 9.6110
angles: 156.73 156.73 33.15
Element x y z (fractional)
Er: 0.1035 0.1035 0.0000
Er: 0.8965 0.8965 0.0000
Pd: 0.5000 0.5000 0.0000
Pt: 0.2500 0.7500 0.5000
Pt: 0.3572 0.3572 0.0000
Pt: 0.6428 0.6428 0.0000
Pt: 0.7500 0.2500 0.5000


Record 3
Compound: Er2Pd3Pt
Source: Alexandria
Functional: PBE
Structure: optimized geometry

Summary:
The value obtained for the spin magnetization is 0.000 μB/atom. As for the excess energy over the best structure of this formula in the dataset: 18.1 kJ/mol of atoms. The formation energy is -0.62 eV per atom. The calculated volume is 265.0 Å³/cell. As for the calculated total energy: -68.98 eV/cell.

abc: 7.0420 7.0420 7.0420
angles: 117.23 107.03 104.45
Element x y z (fractional)
Er: 0.1909 0.1991 0.3899
Er: 0.3091 0.6991 0.0082
Er: 0.6909 0.3009 0.9918
Er: 0.8091 0.8009 0.6101
Pd: 0.0710 0.7500 0.3210
Pd: 0.2500 0.2500 0.0000
Pd: 0.4290 0.7500 0.6790
Pd: 0.5710 0.2500 0.3210
Pd: 0.7500 0.7500 0.0000
Pd: 0.9290 0.2500 0.6790
Pt: 0.0000 0.5000 0.5000
Pt: 0.5000 0.0000 0.5000


Record 4
Compound: Er2Pd7Pt3
Source: Alexandria
Functional: PBE
Structure: optimized geometry

Summary:
The value obtained for the spin magnetization is 0.000 μB/atom. The formation energy is -0.61 eV per atom. The calculated volume is 201.0 Å³/cell. As for the calculated total energy: -70.87 eV/cell.

abc: 4.9353 4.9353 9.1589
angles: 100.56 100.56 108.38
Element x y z (fractional)
Er: 0.1654 0.1654 0.3316
Er: 0.8346 0.8346 0.6684
Pd: 0.0000 0.0000 0.0000
Pd: 0.0806 0.5806 0.1614
Pd: 0.2504 0.7496 0.5000
Pd: 0.4194 0.9194 0.8386
Pd: 0.5806 0.0806 0.1614
Pd: 0.7496 0.2504 0.5000
Pd: 0.9194 0.4194 0.8386
Pt: 0.3401 0.3401 0.6796
Pt: 0.5000 0.5000 0.0000
Pt: 0.6599 0.6599 0.3204